(1)
Entry from Alexandria: crystalline VFe3Ir4 at its relaxed geometry (PBE).

Cell lengths 4.545, 5.425, 8.576 Å; angles 90.00, 90.00, 90.00 degrees
Site moments in Bohr magnetons follow the coordinates.
Atoms (fractional coordinates):
Ir  0.500  0.749  0.000  0.00
Ir  0.500  0.749  0.500  0.00
Ir  0.500  0.251  0.000  0.00
Ir  0.500  0.251  0.500  0.00
Ir  0.144  0.753  0.750  0.00
Ir  0.856  0.753  0.250  0.00
Ir  0.856  0.247  0.250  0.00
Ir  0.144  0.247  0.750  0.00
Fe  0.000  0.000  0.000  2.27
Fe  0.000  0.000  0.500  2.27
Fe  0.658  0.000  0.750  2.19
Fe  0.342  0.000  0.250  2.19
Fe  0.652  0.500  0.750  1.80
Fe  0.348  0.500  0.250  1.80
V  0.000  0.500  0.000  -0.46
V  0.000  0.500  0.500  -0.46

Calculated values
Formation energy from the elements ... -0.190 eV per atom
DOS(E_F) ... 8.6 states/eV/f.u.
Calculated total energy ... -142.935 eV/cell



(2)
Entry from Alexandria: crystalline VFeIr4 at its relaxed geometry (PBE).

Cell lengths 2.737, 5.127, 7.111 Å; angles 119.20, 78.89, 105.49 degrees
Site moments in Bohr magnetons follow the coordinates.
Atoms (fractional coordinates):
V  0.563  0.769  0.394  -0.36
Fe  0.939  0.236  0.107  2.43
Ir  0.608  0.251  0.784  0.01
Ir  0.214  0.743  0.065  0.12
Ir  0.283  0.252  0.435  0.03
Ir  0.893  0.748  0.714  0.07

Calculated values
Formation energy from the elements ... -0.223 eV per atom
DOS(E_F) ... 5.7 states/eV/f.u.
Calculated total energy ... -54.361 eV/cell



(3)
Entry from Alexandria: crystalline VFe2Ir at its relaxed geometry (PBE).

Cell lengths 4.182, 4.182, 4.182 Å; angles 60.00, 60.00, 60.00 degrees
Site moments in Bohr magnetons follow the coordinates.
Atoms (fractional coordinates):
Ir  0.500  0.500  0.500  0.59
Fe  0.250  0.250  0.250  2.44
Fe  0.750  0.750  0.750  2.44
V  0.000  0.000  0.000  -1.09

Calculated values
Formation energy from the elements ... -0.132 eV per atom
Energy above the most stable polymorph in this dataset ... 102 meV/atom
DOS(E_F) ... 4.8 states/eV/f.u.
Calculated total energy ... -35.434 eV/cell



(4)
Entry from Alexandria: crystalline V6Fe2Ir at its relaxed geometry (PBE).

Cell lengths 6.776, 6.776, 6.776 Å; angles 108.39, 110.01, 110.02 degrees
Atoms (fractional coordinates):
V  0.518  0.714  0.804
V  0.482  0.286  0.196
V  0.090  0.286  0.804
V  0.910  0.714  0.196
V  0.792  0.754  0.547
V  0.208  0.246  0.453
V  0.208  0.754  0.962
V  0.792  0.246  0.038
V  0.734  0.422  0.689
V  0.266  0.578  0.311
V  0.266  0.955  0.689
V  0.734  0.045  0.311
Fe  0.500  0.354  0.854
Fe  0.500  0.646  0.146
Fe  0.644  0.000  0.644
Fe  0.356  0.000  0.356
Ir  0.000  0.500  0.500
Ir  0.000  0.000  0.000

Calculated values
Formation energy from the elements ... -0.071 eV per atom
DOS(E_F) ... 10.0 states/eV/f.u.
Calculated total energy ... -162.271 eV/cell



(5)
Entry from Alexandria: crystalline VFe3Ir at its relaxed geometry (PBE).

Cell lengths 4.598, 4.598, 4.598 Å; angles 90.00, 90.00, 90.00 degrees
Site moments in Bohr magnetons follow the coordinates.
Atoms (fractional coordinates):
Ir  0.000  0.000  0.000  0.59
Fe  0.000  0.500  0.000  2.92
Fe  0.000  0.000  0.500  2.92
Fe  0.500  0.000  0.000  2.92
V  0.500  0.500  0.500  2.55

Calculated values
Formation energy from the elements ... 1.490 eV per atom
Energy above the most stable polymorph in this dataset ... 352 meV/atom
DOS(E_F) ... 12.1 states/eV/f.u.
Calculated total energy ... -35.917 eV/cell



(6)
Entry from Alexandria: crystalline V2FeIr2 at its relaxed geometry (PBE).

Cell lengths 7.227, 7.227, 2.790 Å; angles 90.00, 90.00, 90.00 degrees
Site moments in Bohr magnetons follow the coordinates.
Atoms (fractional coordinates):
Ir  0.363  0.863  0.000  0.07
Ir  0.863  0.637  0.000  0.07
Ir  0.637  0.137  0.000  0.07
Ir  0.137  0.363  0.000  0.07
Fe  0.000  0.000  0.000  2.79
Fe  0.500  0.500  0.000  2.79
V  0.163  0.663  0.500  -0.41
V  0.663  0.837  0.500  -0.41
V  0.837  0.337  0.500  -0.41
V  0.337  0.163  0.500  -0.41

Calculated values
Formation energy from the elements ... -0.177 eV per atom
Energy above the most stable polymorph in this dataset ... 60 meV/atom
DOS(E_F) ... 4.6 states/eV/f.u.
Calculated total energy ... -90.612 eV/cell



(7)
Entry from Alexandria: crystalline V2FeIr at its relaxed geometry (PBE).

Cell lengths 2.748, 2.748, 6.813 Å; angles 90.00, 90.00, 90.00 degrees
Atoms (fractional coordinates):
Ir  0.500  0.500  0.500
Fe  0.500  0.500  0.000
V  0.000  0.000  0.772
V  0.000  0.000  0.228

Calculated values
Formation energy from the elements ... -0.262 eV per atom
DOS(E_F) ... 5.8 states/eV/f.u.
Calculated total energy ... -36.607 eV/cell



(8)
Entry from Alexandria: crystalline V4FeIr2 at its relaxed geometry (PBE).

Cell lengths 4.191, 4.191, 6.887 Å; angles 72.29, 72.29, 90.00 degrees
Atoms (fractional coordinates):
Ir  0.373  0.373  0.255
Ir  0.627  0.627  0.745
Fe  0.000  0.000  0.000
V  0.184  0.184  0.632
V  0.816  0.816  0.368
V  0.000  0.500  0.000
V  0.500  0.000  0.000

Calculated values
Formation energy from the elements ... 0.469 eV per atom
DOS(E_F) ... 8.7 states/eV/f.u.
Calculated total energy ... -59.379 eV/cell



(9)
Entry from Alexandria: crystalline V2FeIr at its relaxed geometry (PBE).

Cell lengths 3.724, 3.724, 8.732 Å; angles 77.69, 77.69, 90.00 degrees
Site moments in Bohr magnetons follow the coordinates.
Atoms (fractional coordinates):
Ir  0.000  0.000  0.000  0.07
Ir  0.750  0.250  0.500  0.07
Fe  0.500  0.500  0.000  1.74
Fe  0.250  0.750  0.500  1.74
V  0.612  0.125  0.250  -0.30
V  0.138  0.625  0.250  -0.30
V  0.375  0.388  0.750  -0.30
V  0.875  0.862  0.750  -0.30

Calculated values
Formation energy from the elements ... 0.368 eV per atom
DOS(E_F) ... 4.9 states/eV/f.u.
Calculated total energy ... -68.174 eV/cell



(10)
Entry from Alexandria: crystalline V3FeIr at its relaxed geometry (PBE).

Cell lengths 4.216, 4.216, 4.216 Å; angles 90.00, 90.00, 90.00 degrees
Atoms (fractional coordinates):
Ir  0.500  0.500  0.500
Fe  0.000  0.000  0.000
V  0.000  0.500  0.000
V  0.000  0.000  0.500
V  0.500  0.000  0.000

Calculated values
Formation energy from the elements ... 0.648 eV per atom
Energy above the most stable polymorph in this dataset ... 0 meV/atom
DOS(E_F) ... 8.7 states/eV/f.u.
Calculated total energy ... -41.440 eV/cell



(11)
Entry from Alexandria: crystalline V2Fe2Ir at its relaxed geometry (PBE).

Cell lengths 6.619, 6.619, 2.822 Å; angles 90.00, 90.00, 90.00 degrees
Atoms (fractional coordinates):
Ir  0.000  0.000  0.000
Ir  0.500  0.500  0.000
Fe  0.373  0.873  0.000
Fe  0.873  0.627  0.000
Fe  0.627  0.127  0.000
Fe  0.127  0.373  0.000
V  0.173  0.673  0.500
V  0.673  0.827  0.500
V  0.827  0.327  0.500
V  0.327  0.173  0.500

Calculated values
Formation energy from the elements ... -0.129 eV per atom
Energy above the most stable polymorph in this dataset ... 13 meV/atom
DOS(E_F) ... 6.8 states/eV/f.u.
Calculated total energy ... -89.334 eV/cell



(12)
Entry from Alexandria: crystalline VFe2Ir at its relaxed geometry (PBE).

Cell lengths 3.508, 3.508, 9.406 Å; angles 79.25, 79.25, 90.00 degrees
Site moments in Bohr magnetons follow the coordinates.
Atoms (fractional coordinates):
Ir  0.000  0.000  0.000  0.10
Ir  0.750  0.250  0.500  0.10
Fe  0.623  0.125  0.250  2.39
Fe  0.127  0.625  0.250  2.39
Fe  0.375  0.377  0.750  2.39
Fe  0.875  0.873  0.750  2.39
V  0.500  0.500  0.000  -0.43
V  0.250  0.750  0.500  -0.43

Calculated values
Formation energy from the elements ... 0.326 eV per atom
Energy above the most stable polymorph in this dataset ... 561 meV/atom
DOS(E_F) ... 3.9 states/eV/f.u.
Calculated total energy ... -67.202 eV/cell